Entry from the Alexandria database: a relaxed Tm7CuI12 crystal (PBE).

extended XYZ file:
```
20
Lattice="7.744 4.471 3.479 -7.744 4.471 3.479 0.000 -8.942 3.479" Properties=species:S:1:pos:R:3 pbc="T T T"
Tm 0.000 0.000 0.000
Tm -1.546 -1.507 3.692
Tm -0.532 2.093 3.692
Tm 2.078 -0.585 3.692
Tm -2.078 0.585 6.745
Tm 0.532 -2.093 6.745
Tm 1.546 1.507 6.745
Cu 0.000 0.000 5.219
I -2.435 0.698 1.667
I 0.613 -2.458 1.667
I -4.218 -1.102 5.149
I -1.155 -4.203 5.289
I 1.822 1.760 1.667
I -3.063 3.102 5.289
I 3.063 -3.102 5.149
I -1.822 -1.760 8.770
I 1.155 4.203 5.149
I 4.218 1.102 5.289
I -0.613 2.458 8.770
I 2.435 -0.698 8.770
```

## Properties
Uncorrected formation energy: -1.098 eV/atom
Raw total energy: -76.0 eV/cell